! Ba12Hg3H5 PBE relaxed; values from VASP
! calculated total energy	-2.3493	eV/atom
! SG	No. 230
! Fermi-level density of states	0.84	states/eV per atom
! size of the total moment	0.4	μB per cell
! calculated density	4.91	g/cm3
&SYSTEM
  ibrav = 0, nat = 80, ntyp = 3
/
ATOMIC_SPECIES
Ba 137.33 Ba.upf
Hg 200.59 Hg.upf
H 1.01 H.upf
CELL_PARAMETERS angstrom
-9.1360 9.1360 9.1360
9.1360 -9.1360 9.1360
9.1360 9.1360 -9.1360
ATOMIC_POSITIONS angstrom
Ba 2.8119 -0.6488 1.0338
Ba 10.8921 5.6018 -5.2168
Ba 11.9479 0.6488 1.0338
Ba 10.8921 -3.5342 5.2168
Ba 8.4872 -1.0338 2.8119
Ba 14.3528 -1.7561 3.5342
Ba 1.0338 2.8119 -0.6488
Ba 12.6702 3.9192 -1.7561
Ba 5.6018 5.2168 -1.7561
Ba 8.1022 2.8119 0.6488
Ba -0.6488 1.0338 2.8119
Ba 5.2168 -1.7561 5.6018
Ba 8.4872 8.1022 -2.8119
Ba 5.2168 1.7561 3.5342
Ba 5.6018 -5.2168 10.8921
Ba 8.1022 -2.8119 8.4872
Ba 3.5342 5.2168 1.7561
Ba 10.1698 6.3241 0.6488
Ba 5.2168 10.8921 -3.5342
Ba 8.4872 1.0338 6.3241
Ba 2.8119 8.4872 -1.0338
Ba 10.8921 3.5342 3.9192
Ba 1.7561 3.5342 5.2168
Ba 2.8119 0.6488 8.1022
Ba 6.3241 8.4872 1.0338
Ba 7.3799 5.6018 3.9192
Ba -1.7561 5.6018 5.2168
Ba 6.3241 0.6488 10.1698
Ba 0.6488 8.1022 2.8119
Ba 3.9192 -1.7561 12.6702
Ba -1.0338 2.8119 8.4872
Ba 5.6018 3.9192 7.3799
Ba 1.0338 11.9479 0.6488
Ba 3.5342 14.3528 -1.7561
Ba 3.9192 7.3799 5.6018
Ba 0.6488 1.0338 11.9479
Ba 3.9192 10.8921 3.5342
Ba 9.7848 8.1022 6.3241
Ba 1.0338 6.3241 8.4872
Ba 3.5342 3.9192 10.8921
Ba -3.5342 5.2168 10.8921
Ba 8.1022 6.3241 9.7848
Ba -5.2168 10.8921 5.6018
Ba 0.6488 10.1698 6.3241
Ba -1.7561 12.6702 3.9192
Ba -2.8119 8.4872 8.1022
Ba -1.7561 3.5342 14.3528
Ba 6.3241 9.7848 8.1022
Hg 4.5680 2.2840 0.0000
Hg 9.1360 4.5680 -2.2840
Hg 2.2840 0.0000 4.5680
Hg 11.4200 0.0000 4.5680
Hg 0.0000 4.5680 2.2840
Hg 4.5680 -2.2840 9.1360
Hg 4.5680 11.4200 0.0000
Hg 9.1360 4.5680 6.8520
Hg -2.2840 9.1360 4.5680
Hg 6.8520 9.1360 4.5680
Hg 0.0000 4.5680 11.4200
Hg 4.5680 6.8520 9.1360
H 0.0000 0.0000 0.0000
H 4.5680 4.5680 -4.5680
H 4.5680 -4.5680 4.5680
H 9.1360 0.0000 0.0000
H 13.7040 2.2840 0.0000
H 9.1360 -4.5680 6.8520
H 6.8520 9.1360 -4.5680
H 6.8520 0.0000 4.5680
H 4.5680 6.8520 0.0000
H 9.1360 4.5680 2.2840
H -4.5680 4.5680 4.5680
H 0.0000 9.1360 0.0000
H 0.0000 0.0000 9.1360
H 4.5680 4.5680 4.5680
H 0.0000 4.5680 6.8520
H 4.5680 2.2840 9.1360
H 2.2840 9.1360 4.5680
H 2.2840 0.0000 13.7040
H 0.0000 13.7040 2.2840
H -4.5680 6.8520 9.1360